La3Al2Ga9: optimized geometry, PBE-GGA.

Summary:
- Formation energy from the elements: -7.2 eV/f.u.
- Size of the total moment: 0.00 Bohr magnetons per cell
- N(E_F): 4.7 states/eV per cell
- Space group: Immm (71)
- Volume: 292 Å³/cell

The structure in POSCAR format:
```
La3Al2Ga9
1.0
-2.166 5.096 6.604
2.166 -5.096 6.604
2.166 5.096 -6.604
La Al Ga
3 2 9
direct
0.000 0.000 0.000
0.320 0.320 0.000
0.680 0.680 0.000
0.276 0.500 0.776
0.724 0.500 0.224
0.037 0.666 0.372
0.131 0.859 0.273
0.294 0.666 0.628
0.414 0.141 0.273
0.500 0.000 0.500
0.586 0.859 0.727
0.706 0.334 0.372
0.869 0.141 0.727
0.963 0.334 0.628
```